[1]
# Sc (meta-GGA SCAN, PBEsol geometry)
data_Sc
_chemical_formula_sum 'Sc4'
_symmetry_space_group_name_H-M 'F m -3 m'
_symmetry_Int_Tables_number 225
_symmetry_space_group_name_Hall '-F 4 2 3'
_cell_length_a 4.540
_cell_length_b 4.540
_cell_length_c 4.540
_cell_angle_alpha 90.00
_cell_angle_beta 90.00
_cell_angle_gamma 90.00
loop_
_atom_site_label
_atom_site_type_symbol
_atom_site_fract_x
_atom_site_fract_y
_atom_site_fract_z
Sc1 Sc 0.000 0.000 0.000
# calculated volume	94	Å³/cell
# polymorph energy (0 for the lowest one)	85	meV/atom
# formation energy from the elements	85	meV per atom
# crystal system	cubic
# total magnetization	1.2	μB per cell
# E_tot	-14.15	eV/f.u.

---

[2]
# Sc (meta-GGA SCAN, PBEsol geometry)
data_Sc
_chemical_formula_sum 'Sc2'
_symmetry_space_group_name_H-M 'I m -3 m'
_symmetry_Int_Tables_number 229
_symmetry_space_group_name_Hall '-I 4 2 3'
_cell_length_a 3.618
_cell_length_b 3.618
_cell_length_c 3.618
_cell_angle_alpha 90.00
_cell_angle_beta 90.00
_cell_angle_gamma 90.00
loop_
_atom_site_label
_atom_site_type_symbol
_atom_site_fract_x
_atom_site_fract_y
_atom_site_fract_z
Sc1 Sc 0.000 0.000 0.000
# calculated volume	47	Å³/cell
# polymorph energy (0 for the lowest one)	120	meV/atom
# formation energy from the elements	120	meV per atom
# crystal system	cubic
# total magnetization	1.2	μB per cell
# E_tot	-14.12	eV/f.u.

---

[3]
# Sc (meta-GGA SCAN, PBEsol geometry)
data_Sc
_chemical_formula_sum 'Sc3'
_symmetry_space_group_name_H-M 'P 6/m m m'
_symmetry_Int_Tables_number 191
_symmetry_space_group_name_Hall '-P 6 2'
_cell_length_a 5.0306
_cell_length_b 5.0306
_cell_length_c 3.1899
_cell_angle_alpha 90.00
_cell_angle_beta 90.00
_cell_angle_gamma 120.00
loop_
_atom_site_label
_atom_site_type_symbol
_atom_site_fract_x
_atom_site_fract_y
_atom_site_fract_z
Sc1 Sc 0.0000 0.0000 0.0000
Sc2 Sc 0.3333 0.6667 0.5000
# calculated volume	70	Å³/cell
# polymorph energy (0 for the lowest one)	72	meV/atom
# formation energy from the elements	72	meV per atom
# crystal system	hexagonal
# total magnetization	0.7	μB per cell
# E_tot	-14.17	eV/f.u.

---

[4]
# Sc2Se3 (meta-GGA SCAN, PBEsol geometry)
data_Sc2Se3
_chemical_formula_sum 'Sc6 Se9'
_symmetry_space_group_name_H-M 'R -3 m'
_symmetry_Int_Tables_number 166
_symmetry_space_group_name_Hall '-R 3 2"'
_cell_length_a 3.8147
_cell_length_b 3.8147
_cell_length_c 27.8907
_cell_angle_alpha 90.00
_cell_angle_beta 90.00
_cell_angle_gamma 120.00
loop_
_atom_site_label
_atom_site_type_symbol
_atom_site_fract_x
_atom_site_fract_y
_atom_site_fract_z
Sc1 Sc 0.0000 0.0000 0.1038
Se1 Se 0.0000 0.0000 0.2783
Se2 Se 0.0000 0.0000 0.5000
# formation energy without anion corrections	-1.87	eV/atom
# calculated volume	351	Å³/cell
# crystal system	trigonal
# total magnetization	0.0	μB per cell
# E_tot	-98.06	eV/f.u.

---

[5]
# Sc3Se5 (meta-GGA SCAN, PBEsol geometry)
data_Sc3Se5
_chemical_formula_sum 'Sc6 Se10'
_symmetry_space_group_name_H-M 'C m m m'
_symmetry_Int_Tables_number 65
_symmetry_space_group_name_Hall '-C 2 2'
_cell_length_a 7.123
_cell_length_b 8.643
_cell_length_c 5.009
_cell_angle_alpha 90.00
_cell_angle_beta 90.00
_cell_angle_gamma 90.00
loop_
_atom_site_label
_atom_site_type_symbol
_atom_site_fract_x
_atom_site_fract_y
_atom_site_fract_z
Sc1 Sc 0.000 0.000 0.000
Sc2 Sc 0.000 0.295 0.500
Se1 Se 0.000 0.500 0.000
Se2 Se 0.203 0.000 0.500
Se3 Se 0.250 0.250 0.000
# formation energy without anion corrections	-1.17	eV/atom
# calculated volume	308	Å³/cell
# crystal system	orthorhombic
# total magnetization	0.0	μB per cell
# E_tot	-152.49	eV/f.u.

---

[6]
# ScSe (meta-GGA SCAN, PBEsol geometry)
data_ScSe
_chemical_formula_sum 'Sc4 Se4'
_symmetry_space_group_name_H-M 'F m -3 m'
_symmetry_Int_Tables_number 225
_symmetry_space_group_name_Hall '-F 4 2 3'
_cell_length_a 5.396
_cell_length_b 5.396
_cell_length_c 5.396
_cell_angle_alpha 90.00
_cell_angle_beta 90.00
_cell_angle_gamma 90.00
loop_
_atom_site_label
_atom_site_type_symbol
_atom_site_fract_x
_atom_site_fract_y
_atom_site_fract_z
Sc1 Sc 0.000 0.000 0.000
Se1 Se 0.000 0.000 0.500
# formation energy without anion corrections	-1.77	eV/atom
# calculated volume	157	Å³/cell
# crystal system	cubic
# total magnetization	0.0	μB per cell
# E_tot	-37.85	eV/f.u.

---

[7]
# ScSe (meta-GGA SCAN, PBEsol geometry)
data_ScSe
_chemical_formula_sum 'Sc4 Se4'
_symmetry_space_group_name_H-M 'C m c m'
_symmetry_Int_Tables_number 63
_symmetry_space_group_name_Hall '-C 2c 2'
_cell_length_a 3.681
_cell_length_b 12.717
_cell_length_c 3.686
_cell_angle_alpha 90.00
_cell_angle_beta 90.00
_cell_angle_gamma 90.00
loop_
_atom_site_label
_atom_site_type_symbol
_atom_site_fract_x
_atom_site_fract_y
_atom_site_fract_z
Sc1 Sc 0.000 0.167 0.250
Se1 Se 0.000 0.379 0.250
# formation energy without anion corrections	-1.68	eV/atom
# calculated volume	173	Å³/cell
# crystal system	orthorhombic
# total magnetization	0.0	μB per cell
# E_tot	-37.68	eV/f.u.

---

[8]
# Sc2Se3 (meta-GGA SCAN, PBEsol geometry)
data_Sc2Se3
_chemical_formula_sum 'Sc4 Se6'
_symmetry_space_group_name_H-M 'I m m m'
_symmetry_Int_Tables_number 71
_symmetry_space_group_name_Hall '-I 2 2'
_cell_length_a 3.771
_cell_length_b 5.340
_cell_length_c 11.651
_cell_angle_alpha 90.00
_cell_angle_beta 90.00
_cell_angle_gamma 90.00
loop_
_atom_site_label
_atom_site_type_symbol
_atom_site_fract_x
_atom_site_fract_y
_atom_site_fract_z
Sc1 Sc 0.000 0.000 0.163
Se1 Se 0.000 0.500 0.175
Se2 Se 0.000 0.500 0.500
# formation energy without anion corrections	-1.91	eV/atom
# calculated volume	235	Å³/cell
# crystal system	orthorhombic
# total magnetization	0.0	μB per cell
# E_tot	-98.26	eV/f.u.

---

[9]
# Sc2Se3 (meta-GGA SCAN, PBEsol geometry)
data_Sc2Se3
_chemical_formula_sum 'Sc32 Se48'
_symmetry_space_group_name_H-M 'F d d d'
_symmetry_Int_Tables_number 70
_cell_length_a 7.608
_cell_length_b 10.722
_cell_length_c 22.754
_cell_angle_alpha 90.00
_cell_angle_beta 90.00
_cell_angle_gamma 90.00
loop_
_symmetry_equiv_pos_as_xyz
'x,y,z'
'-x,-y,-z'
'-x+1/4,-y+1/4,z'
'x+1/4,y+1/4,-z'
'x,-y+1/4,-z+1/4'
'-x,y+1/4,z+1/4'
'-x+1/4,y,-z+1/4'
'x+1/4,-y,z+1/4'
'x,y+1/2,z+1/2'
'-x,-y+1/2,-z+1/2'
'-x+1/4,-y+3/4,z+1/2'
'x+1/4,y+3/4,-z+1/2'
'x,-y+3/4,-z+3/4'
'-x,y+3/4,z+3/4'
'-x+1/4,y+1/2,-z+3/4'
'x+1/4,-y+1/2,z+3/4'
'x+1/2,y,z+1/2'
'-x+1/2,-y,-z+1/2'
'-x+3/4,-y+1/4,z+1/2'
'x+3/4,y+1/4,-z+1/2'
'x+1/2,-y+1/4,-z+3/4'
'-x+1/2,y+1/4,z+3/4'
'-x+3/4,y,-z+3/4'
'x+3/4,-y,z+3/4'
'x+1/2,y+1/2,z'
'-x+1/2,-y+1/2,-z'
'-x+3/4,-y+3/4,z'
'x+3/4,y+3/4,-z'
'x+1/2,-y+3/4,-z+1/4'
'-x+1/2,y+3/4,z+1/4'
'-x+3/4,y+1/2,-z+1/4'
'x+3/4,-y+1/2,z+1/4'
loop_
_atom_site_label
_atom_site_type_symbol
_atom_site_fract_x
_atom_site_fract_y
_atom_site_fract_z
Sc1 Sc 0.125 0.125 0.042
Sc2 Sc 0.125 0.125 0.376
Se1 Se 0.123 0.375 0.208
Se2 Se 0.125 0.375 0.375
# formation energy without anion corrections	-1.94	eV/atom
# calculated volume	1856	Å³/cell
# crystal system	orthorhombic
# total magnetization	0.0	μB per cell
# E_tot	-98.39	eV/f.u.

---

[10]
# Sc2Se3 (meta-GGA SCAN, PBEsol geometry)
data_Sc2Se3
_chemical_formula_sum 'Sc2 Se3'
_symmetry_space_group_name_H-M 'P -3 m 1'
_symmetry_Int_Tables_number 164
_symmetry_space_group_name_Hall '-P 3 2"'
_cell_length_a 3.8197
_cell_length_b 3.8197
_cell_length_c 9.4908
_cell_angle_alpha 90.00
_cell_angle_beta 90.00
_cell_angle_gamma 120.00
loop_
_atom_site_label
_atom_site_type_symbol
_atom_site_fract_x
_atom_site_fract_y
_atom_site_fract_z
Sc1 Sc 0.3333 0.6667 0.3153
Se1 Se 0.0000 0.0000 0.5000
Se2 Se 0.3333 0.6667 0.8274
# formation energy without anion corrections	-1.87	eV/atom
# calculated volume	120	Å³/cell
# crystal system	trigonal
# total magnetization	0.0	μB per cell
# E_tot	-98.05	eV/f.u.

---

[11]
# Sc2Se3 (meta-GGA SCAN, PBEsol geometry)
data_Sc2Se3
_chemical_formula_sum 'Sc8 Se12'
_symmetry_space_group_name_H-M 'C 1 2/c 1'
_symmetry_Int_Tables_number 15
_symmetry_space_group_name_Hall '-C 2yc'
_cell_length_a 6.634
_cell_length_b 11.357
_cell_length_c 6.539
_cell_angle_alpha 90.00
_cell_angle_beta 109.63
_cell_angle_gamma 90.00
loop_
_atom_site_label
_atom_site_type_symbol
_atom_site_fract_x
_atom_site_fract_y
_atom_site_fract_z
Sc1 Sc 0.000 0.086 0.250
Sc2 Sc 0.000 0.252 0.750
Se1 Se 0.243 0.085 0.000
Se2 Se 0.250 0.250 0.500
# formation energy without anion corrections	-1.90	eV/atom
# calculated volume	464	Å³/cell
# crystal system	monoclinic
# total magnetization	0.0	μB per cell
# E_tot	-98.22	eV/f.u.

---

[12]
# Sc5Se (meta-GGA SCAN, PBEsol geometry)
data_Sc5Se
_chemical_formula_sum 'Sc10 Se2'
_symmetry_space_group_name_H-M 'C 1 m 1'
_symmetry_Int_Tables_number 8
_symmetry_space_group_name_Hall 'C -2y'
_cell_length_a 10.509
_cell_length_b 3.379
_cell_length_c 7.692
_cell_angle_alpha 90.00
_cell_angle_beta 101.51
_cell_angle_gamma 90.00
loop_
_atom_site_label
_atom_site_type_symbol
_atom_site_fract_x
_atom_site_fract_y
_atom_site_fract_z
Sc1 Sc 0.000 0.000 0.000
Sc2 Sc 0.053 0.000 0.417
Sc3 Sc 0.192 0.500 0.794
Sc4 Sc 0.300 0.000 0.173
Sc5 Sc 0.403 0.000 0.669
Se1 Se 0.263 0.500 0.441
# formation energy without anion corrections	-0.47	eV/atom
# calculated volume	268	Å³/cell
# crystal system	monoclinic
# total magnetization	0.7	μB per cell
# E_tot	-94.11	eV/f.u.

---

[13]
# ScSiSe2 (meta-GGA SCAN, PBEsol geometry)
data_ScSiSe2
_chemical_formula_sum 'Sc3 Si3 Se6'
_symmetry_space_group_name_H-M 'R -3 m'
_symmetry_Int_Tables_number 166
_symmetry_space_group_name_Hall '-R 3 2"'
_cell_length_a 3.7957
_cell_length_b 3.7957
_cell_length_c 19.0435
_cell_angle_alpha 90.00
_cell_angle_beta 90.00
_cell_angle_gamma 120.00
loop_
_atom_site_label
_atom_site_type_symbol
_atom_site_fract_x
_atom_site_fract_y
_atom_site_fract_z
Sc1 Sc 0.0000 0.0000 0.0000
Si1 Si 0.0000 0.0000 0.5000
Se1 Se 0.0000 0.0000 0.2462
# formation energy without anion corrections	-0.64	eV/atom
# calculated volume	238	Å³/cell
# crystal system	trigonal
# total magnetization	0.0	μB per cell
# E_tot	-66.97	eV/f.u.

---

[14]
# ScSi2Se (meta-GGA SCAN, PBEsol geometry)
data_ScSi2Se
_chemical_formula_sum 'Sc4 Si8 Se4'
_symmetry_space_group_name_H-M 'F -4 3 m'
_symmetry_Int_Tables_number 216
_symmetry_space_group_name_Hall 'F -4 2 3'
_cell_length_a 6.569
_cell_length_b 6.569
_cell_length_c 6.569
_cell_angle_alpha 90.00
_cell_angle_beta 90.00
_cell_angle_gamma 90.00
loop_
_atom_site_label
_atom_site_type_symbol
_atom_site_fract_x
_atom_site_fract_y
_atom_site_fract_z
Sc1 Sc 0.000 0.000 0.000
Si1 Si 0.000 0.000 0.500
Si2 Si 0.250 0.250 0.250
Se1 Se 0.250 0.250 0.750
# formation energy without anion corrections	0.07	eV/atom
# calculated volume	283	Å³/cell
# crystal system	cubic
# total magnetization	0.0	μB per cell
# E_tot	-54.07	eV/f.u.